VASP calculation (GGA-PBE) on an optimized crystal structure of PaNbGa2.

The value obtained for the offset from the most stable computed form is 10.6 meV/atom. The calculation puts the density at 9.70 g/cm3. The calculation puts the total energy at -26.7 eV/f.u. The space group is Pnma. Its formation energy is -269 meV per atom. The total moment comes out at 0.000 μB per formula unit.

a b c (Å): 7.435 4.111 10.385
angles (deg): 90.00 90.00 90.00
Sites, in units of the cell vectors:
1 Pa 0.203 0.250 0.188
2 Pa 0.297 0.750 0.688
3 Pa 0.703 0.250 0.312
4 Pa 0.797 0.750 0.812
5 Nb 0.041 0.750 0.409
6 Nb 0.459 0.250 0.909
7 Nb 0.541 0.750 0.091
8 Nb 0.959 0.250 0.591
9 Ga 0.091 0.250 0.843
10 Ga 0.205 0.750 0.976
11 Ga 0.295 0.250 0.476
12 Ga 0.409 0.750 0.343
13 Ga 0.591 0.250 0.657
14 Ga 0.705 0.750 0.524
15 Ga 0.795 0.250 0.024
16 Ga 0.909 0.750 0.157

VASP calculation (GGA-PBE) on an optimized crystal structure of TaPRu3.

The value obtained for the offset from the most stable computed form is 1550.4 meV/atom. The calculation puts the density at 8.15 g/cm3. The calculation puts the total energy at -36.1 eV/f.u. The space group is Pm-3m. Its formation energy is 1794 meV per atom. The total moment comes out at 2.395 μB per formula unit.

a b c (Å): 4.716 4.716 4.716
angles (deg): 90.00 90.00 90.00
Sites, in units of the cell vectors:
1 Ta 0.000 0.000 0.000
2 P 0.500 0.500 0.500
3 Ru 0.000 0.000 0.500
4 Ru 0.000 0.500 0.000
5 Ru 0.500 0.000 0.000

VASP calculation (GGA-PBE) on an optimized crystal structure of Ac3Cd2GePd9.

The calculation puts the density at 8.74 g/cm3. The calculation puts the total energy at -71.5 eV/f.u. The space group is P-3m1. Its formation energy is -400 meV per atom. The total moment comes out at 0.000 μB per formula unit.

a b c (Å): 6.968 6.968 8.750
angles (deg): 90.00 90.00 120.00
Sites, in units of the cell vectors:
1 Ac 0.000 0.000 0.000
2 Ac 0.333 0.667 0.716
3 Ac 0.667 0.333 0.284
4 Cd 0.333 0.667 0.202
5 Cd 0.667 0.333 0.798
6 Ge 0.000 0.000 0.500
7 Pd 0.000 0.500 0.000
8 Pd 0.132 0.265 0.291
9 Pd 0.132 0.868 0.291
10 Pd 0.265 0.132 0.709
11 Pd 0.500 0.000 0.000
12 Pd 0.500 0.500 0.000
13 Pd 0.735 0.868 0.291
14 Pd 0.868 0.132 0.709
15 Pd 0.868 0.735 0.709

VASP calculation (GGA-PBE) on an optimized crystal structure of SrNdCdRh.

The calculation puts the density at 7.10 g/cm3. The calculation puts the total energy at -15.8 eV/f.u. The space group is F-43m. Its formation energy is -276 meV per atom. The total moment comes out at 0.000 μB per formula unit.

a b c (Å): 5.288 5.288 5.288
angles (deg): 60.00 60.00 60.00
Sites, in units of the cell vectors:
1 Sr 0.000 0.000 0.000
2 Nd 0.500 0.500 0.500
3 Cd 0.750 0.750 0.750
4 Rh 0.250 0.250 0.250

VASP calculation (GGA-PBE) on an optimized crystal structure of Dy2AlZn3Ga4.

The calculation puts the density at 7.41 g/cm3. The calculation puts the total energy at -33.1 eV/f.u. The space group is P-4m2. Its formation energy is -418 meV per atom. The total moment comes out at 0.000 μB per formula unit.

a b c (Å): 4.120 4.120 10.926
angles (deg): 90.00 90.00 90.00
Sites, in units of the cell vectors:
1 Dy 0.000 0.500 0.247
2 Dy 0.500 0.000 0.753
3 Al 0.000 0.000 0.500
4 Zn 0.000 0.500 0.862
5 Zn 0.500 0.000 0.138
6 Zn 0.500 0.500 0.500
7 Ga 0.000 0.000 0.000
8 Ga 0.000 0.500 0.643
9 Ga 0.500 0.000 0.357
10 Ga 0.500 0.500 0.000

VASP calculation (GGA-PBE) on an optimized crystal structure of CeAsH2Pt.

The calculation puts the density at 9.62 g/cm3. The calculation puts the total energy at -26.6 eV/f.u. The space group is Cmcm. The total moment comes out at 0.921 μB per formula unit.

a b c (Å): 5.461 5.461 6.914
angles (deg): 90.00 90.00 136.39
Sites, in units of the cell vectors:
1 Ce 0.217 0.783 0.750
2 Ce 0.783 0.217 0.250
3 As 0.063 0.937 0.250
4 As 0.937 0.063 0.750
5 H 0.336 0.664 0.063
6 H 0.336 0.664 0.437
7 H 0.664 0.336 0.563
8 H 0.664 0.336 0.937
9 Pt 0.500 0.500 0.000
10 Pt 0.500 0.500 0.500

VASP calculation (GGA-PBE) on an optimized crystal structure of CsPuInSe3.

The calculation puts the density at 5.72 g/cm3. The calculation puts the total energy at -35.1 eV/f.u. The energy relative to the elements, uncorrected is -1.13 eV/atom. The space group is P2_1/m. The total moment comes out at 4.621 μB per formula unit.

a b c (Å): 9.279 4.152 11.619
angles (deg): 90.00 109.02 90.00
Sites, in units of the cell vectors:
1 Cs 0.236 0.250 0.278
2 Cs 0.764 0.750 0.722
3 Pu 0.353 0.750 0.850
4 Pu 0.647 0.250 0.150
5 In 0.124 0.250 0.574
6 In 0.876 0.750 0.426
7 Se 0.123 0.250 0.807
8 Se 0.333 0.750 0.595
9 Se 0.423 0.750 0.107
10 Se 0.577 0.250 0.893
11 Se 0.667 0.250 0.405
12 Se 0.877 0.750 0.193

VASP calculation (GGA-PBE) on an optimized crystal structure of BaLiTmBi2.

The calculation puts the density at 7.11 g/cm3. The calculation puts the total energy at -19.8 eV/f.u. The space group is I-4m2. Its formation energy is -741 meV per atom. The total moment comes out at 0.000 μB per formula unit.

a b c (Å): 8.197 8.197 8.197
angles (deg): 146.07 146.07 48.74
Sites, in units of the cell vectors:
1 Ba 0.000 0.000 0.000
2 Li 0.750 0.250 0.500
3 Tm 0.250 0.750 0.500
4 Bi 0.373 0.373 0.000
5 Bi 0.627 0.627 0.000